1.
Tb3Zn2Hg2 | PBE | relaxed

Values from the calculation:
- Formation energy from the elements: -0.39 eV/atom
- Calculated volume: 166.0 Å³ per cell
- M_tot: 0.153 Bohr magnetons per cell

Unit cell a=4.2960 b=3.5789 c=11.0086 alpha=90.00 beta=78.75 gamma=90.00
Last column: magnetic moment on the atom in μB.
Element x y z (fractional)
Tb  0.0000  0.0000  0.0000  0.06
Tb  0.8364  0.0000  0.3272  0.02
Tb  0.1636  0.0000  0.6728  0.02
Zn  0.7199  0.5000  0.5602  0.00
Zn  0.2801  0.5000  0.4398  0.00
Hg  0.4176  0.5000  0.1649  0.00
Hg  0.5824  0.5000  0.8351  0.00



2.
Tb2ZnHg5 | PBE | relaxed

Values from the calculation:
- Formation energy from the elements: -0.17 eV/atom
- Calculated volume: 206.9 Å³ per cell
- M_tot: 0.000 Bohr magnetons per cell

Unit cell a=4.6386 b=4.6386 c=11.4234 alpha=78.28 beta=78.28 gamma=60.00
Element x y z (fractional)
Hg  0.2012  0.2012  0.3964
Hg  0.3679  0.3679  0.8962
Hg  0.5000  0.5000  0.5000
Hg  0.6321  0.6321  0.1038
Hg  0.7988  0.7988  0.6036
Zn  0.0000  0.0000  0.0000
Tb  0.9097  0.9097  0.2709
Tb  0.0903  0.0903  0.7291



3.
TbZnHg3 | PBE | relaxed

Values from the calculation:
- Formation energy from the elements: -0.19 eV/atom
- Calculated volume: 232.7 Å³ per cell
- M_tot: 0.000 Bohr magnetons per cell

Unit cell a=4.8766 b=3.6096 c=13.3712 alpha=97.76 beta=93.66 gamma=90.00
Element x y z (fractional)
Hg  0.2924  0.7154  0.4308
Hg  0.2610  0.0290  0.0581
Hg  0.7989  0.1761  0.3522
Hg  0.7076  0.2846  0.5692
Hg  0.7390  0.9710  0.9419
Hg  0.2011  0.8239  0.6478
Zn  0.2888  0.1289  0.2578
Zn  0.7112  0.8711  0.7422
Tb  0.2197  0.4244  0.8488
Tb  0.7803  0.5756  0.1512



4.
Tb11Zn4Hg9 | PBE | relaxed

Values from the calculation:
- Formation energy from the elements: -0.41 eV/atom
- Calculated volume: 593.9 Å³ per cell
- M_tot: 0.003 Bohr magnetons per cell

Unit cell a=3.7598 b=13.0730 c=13.0730 alpha=112.45 beta=90.00 gamma=90.00
Element x y z (fractional)
Hg  0.5000  0.8471  0.3726
Hg  0.5000  0.1529  0.6274
Hg  0.5000  0.0598  0.2123
Hg  0.5000  0.9402  0.7877
Hg  0.5000  0.2123  0.0598
Hg  0.5000  0.6274  0.1529
Hg  0.5000  0.5000  0.5000
Hg  0.5000  0.7877  0.9402
Hg  0.5000  0.3726  0.8471
Tb  0.0000  0.1689  0.8311
Tb  0.0000  0.2824  0.2824
Tb  0.0000  0.6374  0.3626
Tb  0.0000  0.3626  0.6374
Tb  0.0000  0.9245  0.5861
Tb  0.0000  0.8311  0.1689
Tb  0.0000  0.7176  0.7176
Tb  0.0000  0.0755  0.4139
Tb  0.0000  0.0000  0.0000
Tb  0.0000  0.4139  0.0755
Tb  0.0000  0.5861  0.9245
Zn  0.5000  0.4499  0.2619
Zn  0.5000  0.2619  0.4499
Zn  0.5000  0.5501  0.7381
Zn  0.5000  0.7381  0.5501



5.
Tb7Zn2Hg2 | PBE | relaxed

Values from the calculation:
- Formation energy from the elements: -0.06 eV/atom
- Calculated volume: 319.0 Å³ per cell
- M_tot: 0.000 Bohr magnetons per cell

Unit cell a=6.6918 b=7.6355 c=6.6918 alpha=90.00 beta=111.11 gamma=90.00
Element x y z (fractional)
Hg  0.8134  0.5000  0.8134
Hg  0.1866  0.5000  0.1866
Tb  0.5000  0.2787  0.0000
Tb  0.0000  0.2787  0.5000
Tb  0.5000  0.7213  0.0000
Tb  0.5000  0.2441  0.5000
Tb  0.5000  0.7559  0.5000
Tb  0.0000  0.0000  0.0000
Tb  0.0000  0.7213  0.5000
Zn  0.7094  0.0000  0.2906
Zn  0.2906  0.0000  0.7094



6.
TbZrZnHg | PBE | relaxed

Values from the calculation:
- Formation energy from the elements: -0.22 eV/atom
- Calculated volume: 90.0 Å³ per cell
- M_tot: 0.780 Bohr magnetons per cell

Unit cell a=5.0306 b=5.0306 c=5.0306 alpha=60.00 beta=60.00 gamma=60.00
Last column: magnetic moment on the atom in μB.
Element x y z (fractional)
Tb  0.7500  0.7500  0.7500  0.17
Hg  0.5000  0.5000  0.5000  0.01
Zn  0.0000  0.0000  0.0000  0.01
Zr  0.2500  0.2500  0.2500  0.33



7.
TbZrHg2 | PBE | relaxed

Values from the calculation:
- Formation energy from the elements: -0.28 eV/atom
- Calculated volume: 95.4 Å³ per cell
- M_tot: 0.486 Bohr magnetons per cell

Unit cell a=3.6392 b=3.6392 c=7.2019 alpha=90.00 beta=90.00 gamma=90.00
Last column: magnetic moment on the atom in μB.
Element x y z (fractional)
Hg  0.0000  0.0000  0.7662  0.01
Hg  0.0000  0.0000  0.2338  0.01
Zr  0.5000  0.5000  0.0000  0.19
Tb  0.5000  0.5000  0.5000  0.13



8.
TbZrHg2 | PBE | relaxed

Values from the calculation:
- Formation energy from the elements: -0.25 eV/atom
- Calculated volume: 94.8 Å³ per cell
- M_tot: 1.018 Bohr magnetons per cell

Unit cell a=4.1927 b=4.7556 c=4.7556 alpha=90.00 beta=90.00 gamma=90.00
Last column: magnetic moment on the atom in μB.
Element x y z (fractional)
Zr  0.5000  0.0000  0.0000  0.49
Hg  0.0000  0.5000  0.0000  0.01
Hg  0.0000  0.0000  0.5000  0.01
Tb  0.5000  0.5000  0.5000  0.23



9.
TbZrHg4 | PBE | relaxed

Values from the calculation:
- Formation energy from the elements: -0.20 eV/atom
- Calculated volume: 139.6 Å³ per cell
- M_tot: 0.183 Bohr magnetons per cell

Unit cell a=3.3865 b=3.3865 c=12.1690 alpha=90.00 beta=90.00 gamma=90.00
Last column: magnetic moment on the atom in μB.
Element x y z (fractional)
Hg  0.0000  0.0000  0.6721  0.00
Hg  0.5000  0.5000  0.8411  0.00
Hg  0.5000  0.5000  0.1589  0.00
Hg  0.0000  0.0000  0.3279  0.00
Tb  0.5000  0.5000  0.5000  0.18
Zr  0.0000  0.0000  0.0000  -0.03



10.
Tb3ZrHg4 | PBE | relaxed

Values from the calculation:
- Formation energy from the elements: -0.37 eV/atom
- Calculated volume: 199.6 Å³ per cell
- M_tot: 0.311 Bohr magnetons per cell

Unit cell a=3.7017 b=3.7017 c=14.5639 alpha=90.00 beta=90.00 gamma=90.00
Last column: magnetic moment on the atom in μB.
Element x y z (fractional)
Tb  0.5000  0.5000  0.5000  0.04
Tb  0.5000  0.5000  0.7594  0.04
Tb  0.5000  0.5000  0.2406  0.04
Hg  0.0000  0.0000  0.1127  0.00
Hg  0.0000  0.0000  0.6288  0.01
Hg  0.0000  0.0000  0.3712  0.01
Hg  0.0000  0.0000  0.8873  0.00
Zr  0.5000  0.5000  0.0000  0.08



11.
Tb2ZrHg3 | PBE | relaxed

Values from the calculation:
- Formation energy from the elements: -0.34 eV/atom
- Calculated volume: 147.4 Å³ per cell
- M_tot: 0.547 Bohr magnetons per cell

Unit cell a=3.6753 b=3.6753 c=10.9092 alpha=90.00 beta=90.00 gamma=90.00
Last column: magnetic moment on the atom in μB.
Element x y z (fractional)
Hg  0.0000  0.0000  0.3471  0.01
Hg  0.0000  0.0000  0.6529  0.01
Hg  0.0000  0.0000  0.0000  0.02
Zr  0.5000  0.5000  0.5000  0.14
Tb  0.5000  0.5000  0.1745  0.10
Tb  0.5000  0.5000  0.8255  0.10



12.
TbZrHg4 | PBE | relaxed

Values from the calculation:
- Formation energy from the elements: -0.20 eV/atom
- Calculated volume: 137.6 Å³ per cell
- M_tot: 0.000 Bohr magnetons per cell

Unit cell a=3.2526 b=4.9332 c=9.1698 alpha=90.01 beta=69.22 gamma=90.01
Element x y z (fractional)
Hg  0.8283  0.9973  0.1689
Hg  0.6674  0.4973  0.3353
Hg  0.3345  0.4973  0.6610
Hg  0.1747  0.9973  0.8273
Zr  0.0014  0.9973  0.4980
Tb  0.5015  0.4973  0.9982



13.
Tb4ZrHg5 | PBE | relaxed

Values from the calculation:
- Formation energy from the elements: -0.40 eV/atom
- Calculated volume: 251.7 Å³ per cell
- M_tot: 0.370 Bohr magnetons per cell

Unit cell a=3.7089 b=3.7089 c=18.2975 alpha=90.00 beta=90.00 gamma=90.00
Last column: magnetic moment on the atom in μB.
Element x y z (fractional)
Hg  0.5000  0.5000  0.9101  0.00
Hg  0.5000  0.5000  0.0899  0.00
Hg  0.5000  0.5000  0.2939  0.01
Hg  0.5000  0.5000  0.5000  0.00
Hg  0.5000  0.5000  0.7061  0.01
Tb  0.0000  0.0000  0.1911  0.03
Tb  0.0000  0.0000  0.6036  0.04
Tb  0.0000  0.0000  0.8089  0.03
Tb  0.0000  0.0000  0.3964  0.04
Zr  0.0000  0.0000  0.0000  0.09



14.
TbZrHg2 | PBE | relaxed

Values from the calculation:
- Formation energy from the elements: -0.25 eV/atom
- Calculated volume: 95.6 Å³ per cell
- M_tot: 0.851 Bohr magnetons per cell

Unit cell a=5.1327 b=5.1327 c=5.1327 alpha=60.00 beta=60.00 gamma=60.00
Last column: magnetic moment on the atom in μB.
Element x y z (fractional)
Hg  0.2500  0.2500  0.2500  0.01
Hg  0.7500  0.7500  0.7500  0.01
Zr  0.5000  0.5000  0.5000  0.37
Tb  0.0000  0.0000  0.0000  0.18



15.
Tc2Hg | PBE | relaxed

Values from the calculation:
- Formation energy from the elements: 0.58 eV/atom
- Calculated volume: 205.1 Å³ per cell
- M_tot: 0.000 Bohr magnetons per cell

Unit cell a=5.2472 b=5.2472 c=8.6027 alpha=90.00 beta=90.00 gamma=120.00
Element x y z (fractional)
Hg  0.6667  0.3333  0.5688
Hg  0.3333  0.6667  0.4312
Hg  0.3333  0.6667  0.0688
Hg  0.6667  0.3333  0.9312
Tc  0.1759  0.8241  0.7500
Tc  0.8241  0.6482  0.2500
Tc  0.1759  0.3518  0.7500
Tc  0.0000  0.0000  0.5000
Tc  0.6482  0.8241  0.7500
Tc  0.0000  0.0000  0.0000
Tc  0.3518  0.1759  0.2500
Tc  0.8241  0.1759  0.2500



16.
Tc2Hg | PBE | relaxed

Values from the calculation:
- Formation energy from the elements: 0.25 eV/atom
- Calculated volume: 102.1 Å³ per cell
- M_tot: 0.000 Bohr magnetons per cell

Unit cell a=2.8476 b=2.8476 c=14.5433 alpha=90.00 beta=90.00 gamma=120.00
Element x y z (fractional)
Tc  0.3333  0.6667  0.4204
Tc  0.6667  0.3333  0.5796
Tc  0.3333  0.6667  0.7189
Tc  0.6667  0.3333  0.2811
Hg  0.6667  0.3333  0.8943
Hg  0.3333  0.6667  0.1057



17.
TcHg2 | PBE | relaxed

Values from the calculation:
- Formation energy from the elements: 0.56 eV/atom
- Calculated volume: 124.3 Å³ per cell
- M_tot: 0.000 Bohr magnetons per cell

Unit cell a=6.4044 b=6.4044 c=4.2895 alpha=90.00 beta=90.00 gamma=135.06
Element x y z (fractional)
Hg  0.8473  0.5428  0.2500
Hg  0.4572  0.1527  0.7500
Hg  0.1527  0.4572  0.7500
Hg  0.5428  0.8473  0.2500
Tc  0.8684  0.8684  0.7500
Tc  0.1316  0.1316  0.2500



18.
Tc2Hg | PBE | relaxed

Values from the calculation:
- Formation energy from the elements: 0.50 eV/atom
- Calculated volume: 97.3 Å³ per cell
- M_tot: 0.002 Bohr magnetons per cell

Unit cell a=7.4449 b=7.4449 c=4.6218 alpha=90.00 beta=90.00 gamma=157.67
Element x y z (fractional)
Tc  0.4416  0.5584  0.2500
Tc  0.5584  0.4416  0.7500
Tc  0.7832  0.2168  0.2500
Tc  0.2168  0.7832  0.7500
Hg  0.8884  0.1116  0.7500
Hg  0.1116  0.8884  0.2500



19.
Tc3Hg2 | PBE | relaxed

Values from the calculation:
- Formation energy from the elements: 0.46 eV/atom
- Calculated volume: 84.8 Å³ per cell
- M_tot: 0.000 Bohr magnetons per cell

Unit cell a=2.8806 b=2.8806 c=11.7975 alpha=90.00 beta=90.00 gamma=120.00
Element x y z (fractional)
Tc  0.0000  0.0000  0.0000
Tc  0.3333  0.6667  0.4163
Tc  0.6667  0.3333  0.5837
Hg  0.6667  0.3333  0.2047
Hg  0.3333  0.6667  0.7953



20.
Tc2Hg | PBE | relaxed

Values from the calculation:
- Formation energy from the elements: 0.36 eV/atom
- Calculated volume: 101.0 Å³ per cell
- M_tot: 0.000 Bohr magnetons per cell

Unit cell a=5.3691 b=5.3691 c=7.3588 alpha=69.25 beta=69.25 gamma=30.80
Element x y z (fractional)
Tc  0.3639  0.3639  0.0187
Tc  0.0475  0.0475  0.7477
Tc  0.6361  0.6361  0.9813
Tc  0.9525  0.9525  0.2523
Hg  0.6598  0.6598  0.3717
Hg  0.3402  0.3402  0.6283



21.
Tc2Hg | PBE | relaxed

Values from the calculation:
- Formation energy from the elements: 0.43 eV/atom
- Calculated volume: 102.0 Å³ per cell
- M_tot: 0.000 Bohr magnetons per cell

Unit cell a=6.4336 b=6.4336 c=4.1726 alpha=90.00 beta=90.00 gamma=143.78
Element x y z (fractional)
Hg  0.0785  0.9215  0.2500
Hg  0.9215  0.0785  0.7500
Tc  0.3813  0.6187  0.2500
Tc  0.7508  0.2492  0.2500
Tc  0.6187  0.3813  0.7500
Tc  0.2492  0.7508  0.7500



22.
Tc5Hg4 | PBE | relaxed

Values from the calculation:
- Formation energy from the elements: 0.53 eV/atom
- Calculated volume: 158.9 Å³ per cell
- M_tot: 0.185 Bohr magnetons per cell

Unit cell a=6.5229 b=6.5229 c=6.5229 alpha=95.83 beta=95.83 gamma=142.84
Last column: magnetic moment on the atom in μB.
Element x y z (fractional)
Tc  0.6445  0.3555  0.0000  0.01
Tc  0.6445  0.6445  0.2890  0.01
Tc  0.0000  0.0000  0.0000  0.13
Tc  0.3555  0.3555  0.7110  0.01
Tc  0.3555  0.6445  0.0000  0.01
Hg  0.0000  0.3213  0.3213  0.00
Hg  0.0000  0.6787  0.6787  0.00
Hg  0.3213  0.0000  0.3213  0.00
Hg  0.6787  0.0000  0.6787  0.00



23.
Tc2Hg | PBE | relaxed

Values from the calculation:
- Formation energy from the elements: 0.59 eV/atom
- Calculated volume: 198.8 Å³ per cell
- M_tot: 0.002 Bohr magnetons per cell

Unit cell a=4.0303 b=4.0303 c=12.5645 alpha=99.23 beta=99.23 gamma=90.00
Element x y z (fractional)
Tc  0.5729  0.5729  0.1458
Tc  0.4975  0.9975  0.9950
Tc  0.0025  0.5025  0.0050
Tc  0.7525  0.7525  0.5050
Tc  0.2475  0.2475  0.4950
Tc  0.6771  0.1771  0.3542
Tc  0.4271  0.4271  0.8542
Tc  0.8229  0.3229  0.6458
Hg  0.1677  0.6677  0.3353
Hg  0.0823  0.0823  0.1647
Hg  0.3323  0.8323  0.6647
Hg  0.9177  0.9177  0.8353



24.
Tc3Hg5 | PBE | relaxed

Values from the calculation:
- Formation energy from the elements: 0.66 eV/atom
- Calculated volume: 151.4 Å³ per cell
- M_tot: 0.002 Bohr magnetons per cell

Unit cell a=5.9741 b=5.9741 c=4.2863 alpha=90.00 beta=90.00 gamma=98.22
Element x y z (fractional)
Hg  0.0000  0.0000  0.0000
Hg  0.2291  0.7709  0.5000
Hg  0.0000  0.5000  0.0000
Hg  0.5000  0.0000  0.0000
Hg  0.7709  0.2291  0.5000
Tc  0.3030  0.3030  0.5000
Tc  0.6970  0.6970  0.5000
Tc  0.5000  0.5000  0.0000



25.
Tc2Hg | PBE | relaxed

Values from the calculation:
- Formation energy from the elements: 0.85 eV/atom
- Calculated volume: 112.1 Å³ per cell
- M_tot: 0.000 Bohr magnetons per cell

Unit cell a=8.4764 b=8.4764 c=8.4764 alpha=154.58 beta=154.58 gamma=36.26
Element x y z (fractional)
Tc  0.5806  0.5806  0.0000
Tc  0.1694  0.6694  0.5000
Tc  0.4194  0.4194  0.0000
Tc  0.3306  0.8306  0.5000
Hg  0.0000  0.0000  0.0000
Hg  0.7500  0.2500  0.5000



Number 1: total DFT energy (no corrections) -2.82 eV/atom. Number 2: total DFT energy (no corrections) -1.68 eV/atom. Number 3: total DFT energy (no corrections) -1.56 eV/atom. Number 4: total DFT energy (no corrections) -2.86 eV/atom. Number 5: total DFT energy (no corrections) -3.29 eV/atom. Number 6: total DFT energy (no corrections) -3.90 eV/atom. Number 7: total DFT energy (no corrections) -3.72 eV/atom. Number 8: total DFT energy (no corrections) -3.70 eV/atom. Number 9: total DFT energy (no corrections) -2.60 eV/atom. Number 10: total DFT energy (no corrections) -3.33 eV/atom. Number 11: total DFT energy (no corrections) -3.46 eV/atom. Number 12: total DFT energy (no corrections) -2.60 eV/atom. Number 13: total DFT energy (no corrections) -3.25 eV/atom. Number 14: total DFT energy (no corrections) -3.69 eV/atom. Number 15: total DFT energy (no corrections) -6.43 eV/atom. Number 16: total DFT energy (no corrections) -6.76 eV/atom. Number 17: total DFT energy (no corrections) -3.09 eV/atom. Number 18: total DFT energy (no corrections) -6.51 eV/atom. Number 19: total DFT energy (no corrections) -5.88 eV/atom. Number 20: total DFT energy (no corrections) -6.65 eV/atom. Number 21: total DFT energy (no corrections) -6.58 eV/atom. Number 22: total DFT energy (no corrections) -5.36 eV/atom. Number 23: total DFT energy (no corrections) -6.42 eV/atom. Number 24: total DFT energy (no corrections) -3.42 eV/atom. Number 25: total DFT energy (no corrections) -6.16 eV/atom.